Here is crystalline Al5Ni at its relaxed geometry from the Alexandria database. Energies are from PBE.

## Properties
D(E_F) (states/eV/f.u.): 2.4
Total magnetic moment (μB per cell): 0.00
E_form (eV per atom): -0.16
Final energy (Ha/atom): -0.1559

Cell lengths 11.8474, 2.8148, 5.5850 Å; angles 90.00, 104.92, 90.00 degrees
Closest atoms and distances in Å follow each position.
Space group Cm (No. 8)
Unique sites:
1 Al 0.0000 0.0000 0.0000 (multiplicity 2)  2 Ni 2.65, 10 Al 2.67-2.95
2 Al 0.0027 0.0000 0.4796 (multiplicity 2)  2 Ni 2.65, 10 Al 2.67-2.94
3 Al 0.1591 0.5000 0.8222 (multiplicity 2)  10 Al 2.69-2.81, 2 Ni 2.78-2.80
4 Al 0.3150 0.0000 0.1660 (multiplicity 2)  2 Ni 2.65, 10 Al 2.67-2.95
5 Al 0.3187 0.0000 0.6465 (multiplicity 2)  2 Ni 2.66, 10 Al 2.67-2.94
6 Ni 0.1590 0.5000 0.3236 (multiplicity 2)  10 Al 2.65-2.80, 2 Ni 2.81